# Ac3PrNd (GGA-PBE, optimized geometry)
# relative energy among the computed polymorphs: 153 kJ/mol of formula units
# final energy: -0.14799 Ha/atom
# N(E_F): 34.084 states/eV per cell
# magnetic moment: 0.00 μB per formula unit
data_Ac3PrNd
_chemical_formula_sum 'Ac12 Pr4 Nd4'
_cell_length_a 9.449
_cell_length_b 19.592
_cell_length_c 6.202
_cell_angle_alpha 90.00
_cell_angle_beta 130.86
_cell_angle_gamma 90.00
_space_group_name_H-M_alt 'C 1 2/m 1'
_space_group_IT_number 12
_space_group_name_Hall '-C 2y'
loop_
_atom_site_label
_atom_site_type_symbol
_atom_site_fract_x
_atom_site_fract_y
_atom_site_fract_z
Ac1 Ac 0.126 0.000 0.375
Ac2 Ac 0.227 0.154 0.977
Pr1 Pr 0.079 0.500 0.829
Nd1 Nd 0.250 0.250 0.500

***

# AcPr3Nd7 (GGA-PBE, optimized geometry)
# relative energy among the computed polymorphs: 0 kJ/mol of formula units
# final energy: -0.16674 Ha/atom
# N(E_F): 16.270 states/eV per cell
# magnetic moment: 0.00 μB per formula unit
data_AcPr3Nd7
_chemical_formula_sum 'Ac1 Pr3 Nd7'
_cell_length_a 7.3562
_cell_length_b 7.3562
_cell_length_c 8.9341
_cell_angle_alpha 90.00
_cell_angle_beta 90.00
_cell_angle_gamma 120.00
_space_group_name_H-M_alt 'P 3 m 1'
_space_group_IT_number 156
_space_group_name_Hall 'P 3 -2"'
loop_
_atom_site_label
_atom_site_type_symbol
_atom_site_fract_x
_atom_site_fract_y
_atom_site_fract_z
Ac1 Ac 0.0000 0.0000 0.0000
Pr1 Pr 0.1678 0.3356 0.6569
Nd1 Nd 0.0006 0.5003 0.9923
Nd2 Nd 0.3333 0.6667 0.3184
Nd3 Nd 0.3347 0.1674 0.3304

***

# Ac4Pr15Nd (GGA-PBE, optimized geometry)
# final energy: -0.16686 Ha/atom
# N(E_F): 42.781 states/eV per cell
# magnetic moment: 0.00 μB per formula unit
data_Ac4Pr15Nd
_chemical_formula_sum 'Ac4 Pr15 Nd1'
_cell_length_a 6.258
_cell_length_b 6.258
_cell_length_c 19.273
_cell_angle_alpha 90.00
_cell_angle_beta 90.00
_cell_angle_gamma 90.00
_space_group_name_H-M_alt 'P 4/m m m'
_space_group_IT_number 123
_space_group_name_Hall '-P 4 2'
loop_
_atom_site_label
_atom_site_type_symbol
_atom_site_fract_x
_atom_site_fract_y
_atom_site_fract_z
Ac1 Ac 0.000 0.000 0.102
Ac2 Ac 0.000 0.000 0.305
Pr1 Pr 0.000 0.500 0.000
Pr2 Pr 0.000 0.500 0.201
Pr3 Pr 0.000 0.500 0.404
Pr4 Pr 0.500 0.500 0.099
Pr5 Pr 0.500 0.500 0.297
Pr6 Pr 0.500 0.500 0.500
Nd1 Nd 0.000 0.000 0.500

***

# AcPrNd (GGA-PBE, optimized geometry)
# relative energy among the computed polymorphs: 1 kJ/mol of formula units
# final energy: -0.16613 Ha/atom
# N(E_F): 4.556 states/eV per cell
# magnetic moment: 0.00 μB per formula unit
data_AcPrNd
_chemical_formula_sum 'Ac1 Pr1 Nd1'
_cell_length_a 3.8137
_cell_length_b 3.8137
_cell_length_c 9.2307
_cell_angle_alpha 90.00
_cell_angle_beta 90.00
_cell_angle_gamma 120.00
_space_group_name_H-M_alt 'P 3 m 1'
_space_group_IT_number 156
_space_group_name_Hall 'P 3 -2"'
loop_
_atom_site_label
_atom_site_type_symbol
_atom_site_fract_x
_atom_site_fract_y
_atom_site_fract_z
Ac1 Ac 0.0000 0.0000 0.0000
Pr1 Pr 0.3333 0.6667 0.6588
Nd1 Nd 0.6667 0.3333 0.3378

***

# Ac2PrNd7 (GGA-PBE, optimized geometry)
# relative energy among the computed polymorphs: 258 kJ/mol of formula units
# final energy: -0.15509 Ha/atom
# N(E_F): 33.576 states/eV per cell
# magnetic moment: 0.00 μB per formula unit
data_Ac2PrNd7
_chemical_formula_sum 'Ac4 Pr2 Nd14'
_cell_length_a 12.433
_cell_length_b 17.702
_cell_length_c 3.634
_cell_angle_alpha 90.00
_cell_angle_beta 90.00
_cell_angle_gamma 90.00
_space_group_name_H-M_alt 'C m m m'
_space_group_IT_number 65
_space_group_name_Hall '-C 2 2'
loop_
_atom_site_label
_atom_site_type_symbol
_atom_site_fract_x
_atom_site_fract_y
_atom_site_fract_z
Ac1 Ac 0.000 0.176 0.000
Pr1 Pr 0.000 0.000 0.500
Nd1 Nd 0.000 0.338 0.500
Nd2 Nd 0.000 0.500 0.000
Nd3 Nd 0.239 0.380 0.000

***

# Ac2Pr7Nd3 (GGA-PBE, optimized geometry)
# relative energy among the computed polymorphs: 17 kJ/mol of formula units
# final energy: -0.16803 Ha/atom
# N(E_F): 15.698 states/eV per cell
# magnetic moment: 0.00 μB per formula unit
data_Ac2Pr7Nd3
_chemical_formula_sum 'Ac2 Pr7 Nd3'
_cell_length_a 6.097
_cell_length_b 3.740
_cell_length_c 19.978
_cell_angle_alpha 90.00
_cell_angle_beta 93.26
_cell_angle_gamma 90.00
_space_group_name_H-M_alt 'P 1 2/m 1'
_space_group_IT_number 10
_space_group_name_Hall '-P 2y'
loop_
_atom_site_label
_atom_site_type_symbol
_atom_site_fract_x
_atom_site_fract_y
_atom_site_fract_z
Ac1 Ac 0.203 0.000 0.295
Pr1 Pr 0.177 0.500 0.140
Pr2 Pr 0.243 0.000 0.466
Pr3 Pr 0.321 0.000 0.829
Pr4 Pr 0.500 0.500 0.000
Nd1 Nd 0.000 0.000 0.000
Nd2 Nd 0.284 0.500 0.629